# 1
This record from Alexandria describes Pm2Er3Tl4 after structural relaxation. The functional is PBE.

Geometry as extended XYZ:
```
9
Lattice="5.282 0.000 0.000 -2.641 4.575 0.000 0.000 0.000 10.684" Properties=species:S:1:pos:R:3 pbc="T T T"
Pm 0.000 3.050 2.959
Pm 2.641 1.525 7.725
Er 0.000 0.000 5.342
Er 0.000 3.050 9.904
Er 2.641 1.525 0.779
Tl 0.000 0.000 1.616
Tl 0.000 0.000 9.068
Tl 0.000 3.050 6.443
Tl 2.641 1.525 4.241
```

## Properties
crystal system = trigonal
space-group type = P-3m1 (164)
ΔE_f = -0.291 eV per atom
ΔE to the lowest computed polymorph = 0.0000 eV per atom



# 2
This record from Alexandria describes Sr2SN2 after structural relaxation. The functional is PBE.

Geometry as extended XYZ:
```
10
Lattice="7.095 -2.119 0.000 7.095 2.119 0.000 -1.658 0.000 6.978" Properties=species:S:1:pos:R:3 pbc="T T T"
Sr 3.861 1.139 5.986
Sr 7.841 1.139 4.481
Sr 4.690 -1.139 2.497
Sr 8.670 -1.139 0.992
S 6.680 1.010 1.744
S 5.851 -1.010 5.233
N 3.099 0.620 3.265
N 2.270 -0.620 6.754
N 10.261 0.620 0.223
N 9.432 -0.620 3.712
```

## Properties
crystal system = monoclinic
space-group type = C2/c (15)
formation energy from raw total energies = -1.110 eV/atom



# 3
This record from Alexandria describes IrSeI2N after structural relaxation. The functional is PBE.

Geometry as extended XYZ:
```
5
Lattice="5.651 0.000 0.000 0.000 5.651 0.000 0.000 0.000 3.703" Properties=species:S:1:pos:R:3 pbc="T T T"
Ir 0.000 0.000 0.000
Se 2.825 2.825 1.852
I 0.000 2.825 0.000
I 2.825 0.000 0.000
N 0.000 0.000 1.852
```

## Properties
crystal system = tetragonal
space-group type = P4/mmm (123)
ΔE to the lowest computed polymorph = 0.0000 eV per atom
formation energy from raw total energies = 0.616 eV/atom



# 4
This record from Alexandria describes TbSm2DySc after structural relaxation. The functional is PBE.

Geometry as extended XYZ:
```
10
Lattice="6.182 0.000 0.000 0.000 7.862 0.000 0.000 0.000 6.495" Properties=species:S:1:pos:R:3 pbc="T T T"
Tb 1.545 0.000 0.603
Tb 4.636 0.000 5.892
Sm 1.545 2.313 5.081
Sm 1.545 5.549 5.081
Sm 4.636 2.313 1.414
Sm 4.636 5.549 1.414
Dy 1.545 3.931 1.992
Dy 4.636 3.931 4.503
Sc 0.000 0.000 3.248
Sc 3.091 0.000 3.248
```

## Properties
crystal system = orthorhombic
space-group type = Pmma (51)
ΔE_f = 0.232 eV per atom



# 5
This record from Alexandria describes LuHfAlMo after structural relaxation. The functional is PBE.

Geometry as extended XYZ:
```
16
Lattice="6.811 0.000 0.000 0.000 6.811 0.000 0.000 0.000 6.811" Properties=species:S:1:pos:R:3 pbc="T T T"
Lu 0.000 0.000 0.000
Lu 0.000 3.406 3.406
Lu 3.406 0.000 3.406
Lu 3.406 3.406 0.000
Hf 0.000 0.000 3.406
Hf 0.000 3.406 0.000
Hf 3.406 0.000 0.000
Hf 3.406 3.406 3.406
Al 1.703 1.703 5.109
Al 1.703 5.109 1.703
Al 5.109 1.703 1.703
Al 5.109 5.109 5.109
Mo 1.703 1.703 1.703
Mo 1.703 5.109 5.109
Mo 5.109 1.703 5.109
Mo 5.109 5.109 1.703
```

## Properties
crystal system = cubic
space-group type = F-43m (216)
ΔE_f = -0.111 eV per atom



# 6
This record from Alexandria describes Pu2BiPt after structural relaxation. The functional is PBE.

Geometry as extended XYZ:
```
4
Lattice="3.956 0.000 0.000 0.000 3.956 0.000 0.000 0.000 6.241" Properties=species:S:1:pos:R:3 pbc="T T T"
Pu 0.000 0.000 1.445
Pu 0.000 0.000 4.795
Bi 1.978 1.978 3.120
Pt 1.978 1.978 0.000
```

## Properties
crystal system = tetragonal
space-group type = P4/mmm (123)
ΔE_f = -0.496 eV per atom
ΔE to the lowest computed polymorph = 0.0000 eV per atom